# 1
A plane-wave DFT calculation with PBE-GGA was carried out for a relaxed Ac8AgPd2 crystal.

The spin magnetization is 0.00 μB per atom. The formation energy is -2.34 eV/f.u. The total energy is -4.40 eV per atom.

Cell: 9.1716 14.4318 6.5848 Å, 90.00 107.07 90.00°
Last column: nearest neighbours and their distance in Å.
Space group Cm (No. 8)
Inequivalent atoms, fractional coordinates:
Ac: 0.0000 0.0000 0.0000 (multiplicity 2)  2 Pd 3.54, 1 Ag 3.55, 3 Ac 3.86-3.93
Ac: 0.0871 0.3707 0.7828 (multiplicity 4)  2 Pd 3.03-3.09
Ac: 0.1527 0.1298 0.5788 (multiplicity 4)  2 Pd 3.05-3.12, 1 Ag 3.41
Ac: 0.2478 0.5000 0.3775 (multiplicity 2)  1 Ag 3.37, 2 Pd 3.54
Ac: 0.3665 0.2219 0.1852 (multiplicity 4)  1 Ag 3.39, 2 Pd 3.46-3.50, 2 Ac 3.77
Ag: 0.3762 0.0000 0.3553 (multiplicity 2)  8 Ac 3.37-3.55
Pd: 0.3721 0.2993 0.6907 (multiplicity 4)  4 Ac 3.03-3.12

# 2
A plane-wave DFT calculation with PBE-GGA was carried out for a relaxed KZr2Ru crystal.

The calculation puts the excess energy over the best structure of this formula in the dataset at 0 meV per atom. The spin magnetization is 0.00 μB per atom. The formation energy is 0.59 eV/f.u. The total energy is -6.72 eV per atom.

Cell: 3.1934 3.1934 10.4412 Å, 90.00 90.00 90.00°
Last column: nearest neighbours and their distance in Å.
Space group P4/mmm (No. 123)
Inequivalent atoms, fractional coordinates:
K: 0.0000 0.0000 0.0000 (multiplicity 1)  4 K 3.19
Zr: 0.5000 0.5000 0.3413 (multiplicity 2)  4 Ru 2.80
Ru: 0.0000 0.0000 0.5000 (multiplicity 1)  8 Zr 2.80

- The highest formation energy belongs to which entry?
  KZr2Ru

Please write out number 2 again, unchanged.
A plane-wave DFT calculation with PBE-GGA was carried out for a relaxed KZr2Ru crystal.

The calculation puts the excess energy over the best structure of this formula in the dataset at 0 meV per atom. The spin magnetization is 0.00 μB per atom. The formation energy is 0.59 eV/f.u. The total energy is -6.72 eV per atom.

Cell: 3.1934 3.1934 10.4412 Å, 90.00 90.00 90.00°
Last column: nearest neighbours and their distance in Å.
Space group P4/mmm (No. 123)
Inequivalent atoms, fractional coordinates:
K: 0.0000 0.0000 0.0000 (multiplicity 1)  4 K 3.19
Zr: 0.5000 0.5000 0.3413 (multiplicity 2)  4 Ru 2.80
Ru: 0.0000 0.0000 0.5000 (multiplicity 1)  8 Zr 2.80